The following is a GGA-PBE calculation of Tb4TlSbH after structural relaxation, from Alexandria via LeMat-Bulk.

The calculation puts the raw total energy at -0.1705 hartree per atom. As for the density: 9143 kg/m³. The spin magnetization comes out at 0.0 Bohr magnetons per cell.

The space group is Cmcm (No. 63) and the conventional cell measures 6.423, 16.902 and 6.443 Å, with angles of 90.00, 90.00 and 90.00 degrees. The asymmetric unit holds Tb at (0.000, 0.071, 0.250), Tb at (0.000, 0.427, 0.250), Tb at (0.250, 0.250, 0.000), Tl at (0.000, 0.112, 0.750), Sb at (0.000, 0.388, 0.750) and H at (0.000, 0.291, 0.250).